[1]
An optimized crystal structure of Er6Tm8In. Source: Alexandria, functional PBE.

Calculated values
The formation energy comes out at 26.3 meV per atom.

Geometry as POSCAR:
```
Er6Tm8In
1.0
4.4335 2.5597 6.6124
-4.4335 2.5597 6.6124
0.0000 -5.1194 6.6124
Er Tm In
6 8 1
direct
0.0485 0.7273 0.6093
0.2727 0.3907 0.9515
0.3907 0.9515 0.2727
0.6093 0.0485 0.7273
0.7273 0.6093 0.0485
0.9515 0.2727 0.3907
0.0757 0.0757 0.0757
0.2166 0.2455 0.6090
0.2455 0.6090 0.2166
0.3910 0.7834 0.7545
0.6090 0.2166 0.2455
0.7545 0.3910 0.7834
0.7834 0.7545 0.3910
0.9243 0.9243 0.9243
0.5000 0.5000 0.5000
```

[2]
An optimized crystal structure of BaSn3Rh. Source: Alexandria, functional PBE.

Calculated values
The formation energy comes out at -278.5 meV per atom.

Geometry as POSCAR:
```
BaSn3Rh
1.0
5.2826 0.0000 0.0000
0.0000 5.2826 0.0000
0.0000 0.0000 5.2826
Ba Sn Rh
1 3 1
direct
0.0000 0.0000 0.0000
0.0000 0.5000 0.5000
0.5000 0.0000 0.5000
0.5000 0.5000 0.0000
0.5000 0.5000 0.5000
```

[3]
An optimized crystal structure of Ca2NiBi. Source: Alexandria, functional PBE.

Calculated values
The formation energy comes out at -136.3 meV per atom.

Geometry as POSCAR:
```
Ca2NiBi
1.0
-4.0878 4.0878 3.2336
4.0878 -4.0878 3.2336
4.0878 4.0878 -3.2336
Ca Ni Bi
4 2 2
direct
0.0705 0.6250 0.9455
0.3750 0.3205 0.4455
0.6795 0.1250 0.0545
0.8750 0.9295 0.5545
0.0000 0.0000 0.0000
0.7500 0.2500 0.5000
0.2500 0.7500 0.5000
0.5000 0.5000 0.0000
```

[4]
An optimized crystal structure of Pu2NpNi2Ge2. Source: Alexandria, functional PBE.

Calculated values
The formation energy comes out at -273.1 meV per atom.

Geometry as POSCAR:
```
Pu2NpNi2Ge2
1.0
2.1744 1.2554 8.2180
-2.1744 1.2554 8.2180
0.0000 -2.5108 8.2180
Pu Np Ni Ge
2 1 2 2
direct
0.1292 0.1292 0.1292
0.8708 0.8708 0.8708
0.0000 0.0000 0.0000
0.3988 0.3988 0.3988
0.6012 0.6012 0.6012
0.2655 0.2655 0.2655
0.7345 0.7345 0.7345
```

[5]
An optimized crystal structure of Cd2TcTe. Source: Alexandria, functional PBE.

Calculated values
For the total energy, the calculation gives -3.3644 eV/atom.

Geometry as POSCAR:
```
Cd2TcTe
1.0
3.8701 0.0000 0.0000
0.0000 3.8701 0.0000
0.0000 0.0000 5.5766
Cd Tc Te
2 1 1
direct
0.0000 0.0000 0.2368
0.0000 0.0000 0.7632
0.5000 0.5000 0.0000
0.5000 0.5000 0.5000
```

[6]
An optimized crystal structure of LiAsSe4. Source: Alexandria, functional PBE.

Calculated values
For the total energy, the calculation gives -3.0192 eV/atom.

Geometry as POSCAR:
```
LiAsSe4
1.0
0.0000 4.0417 4.0417
4.0417 0.0000 4.0417
4.0417 4.0417 0.0000
Li As Se
1 1 4
direct
0.0000 0.0000 0.0000
0.2500 0.2500 0.2500
0.1267 0.6244 0.6244
0.6244 0.1267 0.6244
0.6244 0.6244 0.1267
0.6244 0.6244 0.6244
```

[7]
An optimized crystal structure of La3Si2Rh2. Source: Alexandria, functional PBE.

Calculated values
For the total energy, the calculation gives -6.6391 eV/atom.

Geometry as POSCAR:
```
La3Si2Rh2
1.0
5.7538 0.0000 0.0000
0.0000 8.1276 0.0000
0.0000 0.0000 13.5031
La Si Rh
12 8 8
direct
0.1426 0.1088 0.0994
0.1426 0.1088 0.4006
0.1426 0.3912 0.5994
0.1426 0.3912 0.9006
0.3497 0.7438 0.7500
0.3497 0.7562 0.2500
0.6503 0.2438 0.7500
0.6503 0.2562 0.2500
0.8574 0.6088 0.0994
0.8574 0.6088 0.4006
0.8574 0.8912 0.5994
0.8574 0.8912 0.9006
0.1611 0.0984 0.7500
0.1611 0.4016 0.2500
0.3712 0.7500 0.0000
0.3712 0.7500 0.5000
0.6288 0.2500 0.0000
0.6288 0.2500 0.5000
0.8389 0.5984 0.7500
0.8389 0.9016 0.2500
0.3791 0.0346 0.5905
0.3791 0.0346 0.9095
0.3791 0.4654 0.0905
0.3791 0.4654 0.4095
0.6209 0.5346 0.5905
0.6209 0.5346 0.9095
0.6209 0.9654 0.0905
0.6209 0.9654 0.4095
```

[8]
An optimized crystal structure of AlCdRe2. Source: Alexandria, functional PBE.

Calculated values
The formation energy comes out at 397.8 meV per atom.

Geometry as POSCAR:
```
AlCdRe2
1.0
-1.5483 2.2940 4.5212
1.5483 -2.2940 4.5212
1.5483 2.2940 -4.5212
Al Cd Re
1 1 2
direct
0.0000 0.0000 0.0000
0.2641 0.7641 0.5000
0.5326 0.5326 0.0000
0.7637 0.2637 0.5000
```

Please write out number 6 again, unchanged.
An optimized crystal structure of LiAsSe4. Source: Alexandria, functional PBE.

Calculated values
For the total energy, the calculation gives -3.0192 eV/atom.

Geometry as POSCAR:
```
LiAsSe4
1.0
0.0000 4.0417 4.0417
4.0417 0.0000 4.0417
4.0417 4.0417 0.0000
Li As Se
1 1 4
direct
0.0000 0.0000 0.0000
0.2500 0.2500 0.2500
0.1267 0.6244 0.6244
0.6244 0.1267 0.6244
0.6244 0.6244 0.1267
0.6244 0.6244 0.6244
```